The following is a PBE-GGA calculation of a relaxed ScAuNO crystal, from OQMD.

```
ScAuNO
1.0
3.3939 0.0000 0.0000
0.0000 6.1058 0.0000
0.0000 0.0000 5.9790
Sc Au N O
2 2 2 2
direct
0.0000 0.1943 0.0000
0.0000 0.8057 0.5000
0.5000 0.2820 0.4447
0.5000 0.7180 0.9447
0.0000 0.1133 0.3462
0.0000 0.8867 0.8462
0.5000 0.3381 0.9118
0.5000 0.6619 0.4118
```

Results
VASP energy: -53.4 eV for the cell shown